# PBE-GGA H2PdRh2, relaxed
# magnetization: 0.000 μB per cell
# Fermi-level density of states: 4.272 states/eV/f.u.
# SG: I4/mmm
# excess energy over the best structure of this formula in the dataset: 0.00 kJ/mol of atoms
data_H2PdRh2
_chemical_formula_sum 'H2 Pd1 Rh2'
_cell_length_a 3.439
_cell_length_b 3.439
_cell_length_c 4.855
_cell_angle_alpha 69.25
_cell_angle_beta 69.25
_cell_angle_gamma 90.00
_symmetry_space_group_name_H-M 'P 1'
_symmetry_Int_Tables_number 1
loop_
_symmetry_equiv_pos_as_xyz
'x,y,z'
loop_
_atom_site_label
_atom_site_type_symbol
_atom_site_fract_x
_atom_site_fract_y
_atom_site_fract_z
_atom_site_occupancy
H1 H 0.750 0.250 0.500 1
H2 H 0.250 0.750 0.500 1
Rh1 Rh 0.338 0.338 0.324 1
Rh2 Rh 0.662 0.662 0.676 1
Pd1 Pd 0.000 0.000 0.000 1